A relaxed structure of FeCoBiOs, computed with PBE.

Cell: 4.447 4.447 4.447 Å, 60.00 60.00 60.00°
Fractional coordinates of all 4 atoms:
Bi 0.000 0.000 0.000
Co 0.750 0.750 0.750
Fe 0.500 0.500 0.500
Os 0.250 0.250 0.250

Output
ΔE to the lowest computed polymorph   0.000 eV per atom
Spin magnetization   1.23 μB per atom